(1)
Cs2Se5: optimized geometry, PBE-GGA.

Cell: 20.959 7.152 7.471 Å, 90.00 90.00 90.00°
Sites, in units of the cell vectors:
Cs 0.504 0.381 0.572
Cs 0.496 0.881 0.928
Cs 0.004 0.119 0.428
Cs 0.996 0.619 0.072
Cs 0.818 0.909 0.694
Cs 0.182 0.409 0.806
Cs 0.318 0.591 0.306
Cs 0.682 0.091 0.194
Se 0.542 0.404 0.079
Se 0.458 0.904 0.421
Se 0.042 0.096 0.921
Se 0.958 0.596 0.579
Se 0.638 0.571 0.070
Se 0.362 0.071 0.430
Se 0.138 0.929 0.930
Se 0.862 0.429 0.570
Se 0.685 0.548 0.777
Se 0.315 0.048 0.723
Se 0.185 0.952 0.223
Se 0.815 0.452 0.277
Se 0.630 0.769 0.588
Se 0.370 0.269 0.912
Se 0.130 0.731 0.412
Se 0.870 0.231 0.088
Se 0.650 0.078 0.686
Se 0.350 0.578 0.814
Se 0.150 0.422 0.314
Se 0.850 0.922 0.186

Values from the calculation:
The value obtained for the formation energy (no corrections) is -61 kJ/mol of atoms. The total magnetization is 0.000 μB per atom. As for the total energy: -94.1 eV/cell.

=====

(2)
Cs2Se: optimized geometry, PBE-GGA.

Cell: 6.008 6.008 6.008 Å, 60.00 60.00 60.00°
Sites, in units of the cell vectors:
Cs 0.750 0.750 0.750
Cs 0.250 0.250 0.250
Se 0.000 0.000 0.000

Values from the calculation:
Its energy above the most stable polymorph in this dataset is 0 meV/atom. The value obtained for the formation energy (no corrections) is -104 kJ/mol of atoms. The total magnetization is 0.000 μB per atom. As for the total energy: -8.4 eV/cell.

=====

(3)
CsSe: optimized geometry, PBE-GGA.

Cell: 6.718 6.718 17.441 Å, 90.00 90.00 90.00°
Sites, in units of the cell vectors:
Cs 0.687 0.976 0.624
Cs 0.187 0.524 0.626
Cs 0.813 0.476 0.126
Cs 0.313 0.024 0.124
Cs 0.024 0.313 0.876
Cs 0.524 0.187 0.374
Cs 0.476 0.813 0.874
Cs 0.976 0.687 0.376
Se 0.187 0.019 0.709
Se 0.687 0.481 0.541
Se 0.313 0.519 0.041
Se 0.813 0.981 0.209
Se 0.981 0.813 0.791
Se 0.481 0.687 0.459
Se 0.519 0.313 0.959
Se 0.019 0.187 0.291

Values from the calculation:
The value obtained for the formation energy (no corrections) is -93 kJ/mol of atoms. The total magnetization is 0.000 μB per atom. As for the total energy: -50.2 eV/cell.

=====

(4)
Cs2Se: optimized geometry, PBE-GGA.

Cell: 5.809 5.809 10.252 Å, 90.00 90.00 120.53°
Sites, in units of the cell vectors:
Cs 0.497 0.503 0.425
Cs 0.503 0.497 0.925
Cs 0.832 0.168 0.161
Cs 0.168 0.832 0.661
Se 0.164 0.836 0.290
Se 0.836 0.164 0.790

Values from the calculation:
Its energy above the most stable polymorph in this dataset is 57 meV/atom. The value obtained for the formation energy (no corrections) is -99 kJ/mol of atoms. The total magnetization is 0.000 μB per atom. As for the total energy: -16.5 eV/cell.

=====

(5)
CsSe: optimized geometry, PBE-GGA.

Cell: 12.693 12.693 5.171 Å, 90.00 90.00 90.00°
Sites, in units of the cell vectors:
Cs 0.992 0.750 0.000
Cs 0.492 0.750 0.500
Cs 0.508 0.250 0.500
Cs 0.008 0.250 0.000
Cs 0.750 0.508 0.500
Cs 0.250 0.992 0.000
Cs 0.750 0.008 0.000
Cs 0.250 0.492 0.500
Se 0.265 0.717 0.000
Se 0.765 0.783 0.500
Se 0.235 0.217 0.500
Se 0.735 0.283 0.000
Se 0.783 0.235 0.500
Se 0.283 0.265 0.000
Se 0.717 0.735 0.000
Se 0.217 0.765 0.500

Values from the calculation:
The value obtained for the formation energy (no corrections) is -81 kJ/mol of atoms. The total magnetization is 0.000 μB per atom. As for the total energy: -48.2 eV/cell.

=====

(6)
CsSe: optimized geometry, PBE-GGA.

Cell: 7.639 7.639 7.093 Å, 90.00 90.00 90.00°
Sites, in units of the cell vectors:
Cs 0.805 0.195 0.000
Cs 0.305 0.305 0.500
Cs 0.695 0.695 0.500
Cs 0.195 0.805 0.000
Se 0.387 0.387 0.000
Se 0.887 0.113 0.500
Se 0.113 0.887 0.500
Se 0.613 0.613 0.000

Values from the calculation:
The value obtained for the formation energy (no corrections) is -87 kJ/mol of atoms. The total magnetization is 0.000 μB per atom. As for the total energy: -24.6 eV/cell.